1.
# meta-GGA SCAN K2RuBr, PBEsol geometry
# energy relative to the lowest polymorph listed for this composition	0.0641	eV per atom
# E	-17.49	eV/atom
data_K2RuBr
_cell_length_a 5.616
_cell_length_b 5.616
_cell_length_c 7.983
_cell_angle_alpha 90.00
_cell_angle_beta 90.00
_cell_angle_gamma 90.00
_symmetry_space_group_name_H-M 'I 4/m m m'
_symmetry_Int_Tables_number 139
_symmetry_space_group_name_Hall '-I 4 2'
loop_
_atom_site_label
_atom_site_fract_x
_atom_site_fract_y
_atom_site_fract_z
_atom_site_occupancy
K1 0.000 0.500 0.250 1
Ru1 0.000 0.000 0.000 1
Br1 0.000 0.000 0.500 1

---

2.
# meta-GGA SCAN MnReBr2, PBEsol geometry
# energy relative to the lowest polymorph listed for this composition	0.0000	eV per atom
# E	-31.16	eV/atom
data_MnReBr2
_cell_length_a 3.000
_cell_length_b 5.614
_cell_length_c 8.575
_cell_angle_alpha 90.00
_cell_angle_beta 90.00
_cell_angle_gamma 90.00
_symmetry_space_group_name_H-M 'C m m m'
_symmetry_Int_Tables_number 65
_symmetry_space_group_name_Hall '-C 2 2'
loop_
_atom_site_label
_atom_site_fract_x
_atom_site_fract_y
_atom_site_fract_z
_atom_site_occupancy
Mn1 0.000 0.000 0.000 1
Re1 0.000 0.000 0.500 1
Br1 0.000 0.500 0.258 1

---

3.
# meta-GGA SCAN AlCu3, PBEsol geometry
# energy of formation	-0.1524	eV/atom
# E	-13.49	eV/atom
data_AlCu3
_cell_length_a 2.557
_cell_length_b 4.152
_cell_length_c 4.577
_cell_angle_alpha 90.00
_cell_angle_beta 96.53
_cell_angle_gamma 90.00
_symmetry_space_group_name_H-M 'P 1 2/m 1'
_symmetry_Int_Tables_number 10
_symmetry_space_group_name_Hall '-P 2y'
loop_
_atom_site_label
_atom_site_fract_x
_atom_site_fract_y
_atom_site_fract_z
_atom_site_occupancy
Al1 0.000 0.000 0.000 1
Cu1 0.260 0.500 0.747 1
Cu2 0.500 0.000 0.500 1

---

4.
# meta-GGA SCAN CsIrSe2N, PBEsol geometry
# energy relative to the lowest polymorph listed for this composition	0.0000	eV per atom
# E	-31.56	eV/atom
data_CsIrSe2N
_cell_length_a 5.446
_cell_length_b 5.446
_cell_length_c 3.690
_cell_angle_alpha 90.00
_cell_angle_beta 90.00
_cell_angle_gamma 90.00
_symmetry_space_group_name_H-M 'P 4/m m m'
_symmetry_Int_Tables_number 123
_symmetry_space_group_name_Hall '-P 4 2'
loop_
_atom_site_label
_atom_site_fract_x
_atom_site_fract_y
_atom_site_fract_z
_atom_site_occupancy
Cs1 0.000 0.000 0.000 1
Ir1 0.500 0.500 0.500 1
Se1 0.000 0.500 0.500 1
N1 0.500 0.500 0.000 1

---

5.
# meta-GGA SCAN KCa2Y, PBEsol geometry
# energy relative to the lowest polymorph listed for this composition	0.2325	eV per atom
# energy of formation	0.3918	eV/atom
# E	-13.48	eV/atom
data_KCa2Y
_cell_length_a 5.342
_cell_length_b 5.342
_cell_length_c 11.479
_cell_angle_alpha 90.00
_cell_angle_beta 90.00
_cell_angle_gamma 90.00
_symmetry_space_group_name_H-M 'I -4 m 2'
_symmetry_Int_Tables_number 119
_symmetry_space_group_name_Hall 'I -4 -2'
loop_
_atom_site_label
_atom_site_fract_x
_atom_site_fract_y
_atom_site_fract_z
_atom_site_occupancy
K1 0.000 0.000 0.000 1
Ca1 0.000 0.000 0.500 1
Ca2 0.000 0.500 0.750 1
Y1 0.000 0.500 0.250 1

---

6.
# meta-GGA SCAN HfBIr2Ru, PBEsol geometry
# energy of formation	-0.7232	eV/atom
# E	-50.15	eV/atom
data_HfBIr2Ru
_cell_length_a 4.089
_cell_length_b 4.089
_cell_length_c 4.110
_cell_angle_alpha 90.00
_cell_angle_beta 90.00
_cell_angle_gamma 90.00
_symmetry_space_group_name_H-M 'P 4/m m m'
_symmetry_Int_Tables_number 123
_symmetry_space_group_name_Hall '-P 4 2'
loop_
_atom_site_label
_atom_site_fract_x
_atom_site_fract_y
_atom_site_fract_z
_atom_site_occupancy
Hf1 0.000 0.000 0.000 1
B1 0.500 0.500 0.500 1
Ir1 0.000 0.500 0.500 1
Ru1 0.500 0.500 0.000 1

---

7.
# meta-GGA SCAN Ba4TaW, PBEsol geometry
# energy of formation	1.9001	eV/atom
# E	-47.18	eV/atom
data_Ba4TaW
_cell_length_a 9.364
_cell_length_b 9.364
_cell_length_c 9.364
_cell_angle_alpha 90.00
_cell_angle_beta 90.00
_cell_angle_gamma 90.00
_symmetry_space_group_name_H-M 'F -4 3 m'
_symmetry_Int_Tables_number 216
_symmetry_space_group_name_Hall 'F -4 2 3'
loop_
_atom_site_label
_atom_site_fract_x
_atom_site_fract_y
_atom_site_fract_z
_atom_site_occupancy
Ba1 0.125 0.125 0.125 1
Ta1 0.000 0.000 0.500 1
W1 0.250 0.250 0.750 1

---

8.
# meta-GGA SCAN SnP3Rh, PBEsol geometry
# energy of formation	1.7625	eV/atom
# E	-18.42	eV/atom
data_SnP3Rh
_cell_length_a 4.825
_cell_length_b 4.825
_cell_length_c 4.825
_cell_angle_alpha 90.00
_cell_angle_beta 90.00
_cell_angle_gamma 90.00
_symmetry_space_group_name_H-M 'P m -3 m'
_symmetry_Int_Tables_number 221
_symmetry_space_group_name_Hall '-P 4 2 3'
loop_
_atom_site_label
_atom_site_fract_x
_atom_site_fract_y
_atom_site_fract_z
_atom_site_occupancy
Sn1 0.000 0.000 0.000 1
P1 0.000 0.000 0.500 1
Rh1 0.500 0.500 0.500 1

---

Q: Look up the E of the seventh one.
A: -47.18 eV/atom

---

Repeat the seventh record exactly.
# meta-GGA SCAN Ba4TaW, PBEsol geometry
# energy of formation	1.9001	eV/atom
# E	-47.18	eV/atom
data_Ba4TaW
_cell_length_a 9.364
_cell_length_b 9.364
_cell_length_c 9.364
_cell_angle_alpha 90.00
_cell_angle_beta 90.00
_cell_angle_gamma 90.00
_symmetry_space_group_name_H-M 'F -4 3 m'
_symmetry_Int_Tables_number 216
_symmetry_space_group_name_Hall 'F -4 2 3'
loop_
_atom_site_label
_atom_site_fract_x
_atom_site_fract_y
_atom_site_fract_z
_atom_site_occupancy
Ba1 0.125 0.125 0.125 1
Ta1 0.000 0.000 0.500 1
W1 0.250 0.250 0.750 1

---

Repeat the fourth record exactly.
# meta-GGA SCAN CsIrSe2N, PBEsol geometry
# energy relative to the lowest polymorph listed for this composition	0.0000	eV per atom
# E	-31.56	eV/atom
data_CsIrSe2N
_cell_length_a 5.446
_cell_length_b 5.446
_cell_length_c 3.690
_cell_angle_alpha 90.00
_cell_angle_beta 90.00
_cell_angle_gamma 90.00
_symmetry_space_group_name_H-M 'P 4/m m m'
_symmetry_Int_Tables_number 123
_symmetry_space_group_name_Hall '-P 4 2'
loop_
_atom_site_label
_atom_site_fract_x
_atom_site_fract_y
_atom_site_fract_z
_atom_site_occupancy
Cs1 0.000 0.000 0.000 1
Ir1 0.500 0.500 0.500 1
Se1 0.000 0.500 0.500 1
N1 0.500 0.500 0.000 1

---

Please write out number 4 again, unchanged.
# meta-GGA SCAN CsIrSe2N, PBEsol geometry
# energy relative to the lowest polymorph listed for this composition	0.0000	eV per atom
# E	-31.56	eV/atom
data_CsIrSe2N
_cell_length_a 5.446
_cell_length_b 5.446
_cell_length_c 3.690
_cell_angle_alpha 90.00
_cell_angle_beta 90.00
_cell_angle_gamma 90.00
_symmetry_space_group_name_H-M 'P 4/m m m'
_symmetry_Int_Tables_number 123
_symmetry_space_group_name_Hall '-P 4 2'
loop_
_atom_site_label
_atom_site_fract_x
_atom_site_fract_y
_atom_site_fract_z
_atom_site_occupancy
Cs1 0.000 0.000 0.000 1
Ir1 0.500 0.500 0.500 1
Se1 0.000 0.500 0.500 1
N1 0.500 0.500 0.000 1